CsNaHg2 | PBE | optimized geometry

The space group is I-42d (No. 122) and the conventional cell measures 6.0739, 6.0739 and 21.2068 Å, with angles of 90.00, 90.00 and 90.00 degrees. The inequivalent atoms are Cs at (0.0000, 0.0000, 0.0000), Na at (0.0000, 0.0000, 0.5000) and Hg at (0.0086, 0.2500, 0.6250).

As for the formation energy: -146 meV per atom. The value obtained for the offset from the most stable computed form is 90 meV per atom. The total magnetization is 0.0 μB per formula unit.